Record 1
This record from Alexandria via LeMat-Bulk describes an optimized crystal structure of BiOs2Se. The functional is PBE.

```
data_BiOs2Se
_chemical_formula_sum 'Bi4 Os8 Se4'
_cell_length_a 6.576
_cell_length_b 6.576
_cell_length_c 6.576
_cell_angle_alpha 90.00
_cell_angle_beta 90.00
_cell_angle_gamma 90.00
_space_group_name_H-M_alt 'F m -3 m'
_space_group_IT_number 225
_space_group_name_Hall '-F 4 2 3'
loop_
_atom_site_label
_atom_site_type_symbol
_atom_site_fract_x
_atom_site_fract_y
_atom_site_fract_z
Bi1 Bi 0.000 0.000 0.000
Os1 Os 0.250 0.250 0.250
Se1 Se 0.000 0.000 0.500
```

Summary:
calculated total energy = -25.56 eV per formula unit
DOS(E_F) = 13.80 states/eV per cell
density = 15.61 Mg/m³
E above lowest polymorph = 66 meV/atom

Record 2
This record from Alexandria via LeMat-Bulk describes an optimized crystal structure of Bi2OsSe2. The functional is PBE.

```
data_Bi2OsSe2
_chemical_formula_sum 'Bi4 Os2 Se4'
_cell_length_a 7.659
_cell_length_b 7.659
_cell_length_c 4.459
_cell_angle_alpha 90.00
_cell_angle_beta 90.00
_cell_angle_gamma 90.00
_space_group_name_H-M_alt 'P 4/m b m'
_space_group_IT_number 127
_space_group_name_Hall '-P 4 2ab'
loop_
_atom_site_label
_atom_site_type_symbol
_atom_site_fract_x
_atom_site_fract_y
_atom_site_fract_z
Bi1 Bi 0.170 0.330 0.000
Os1 Os 0.000 0.000 0.000
Se1 Se 0.166 0.666 0.500
```

Summary:
calculated total energy = -22.15 eV per formula unit
DOS(E_F) = 4.87 states/eV per cell
density = 9.73 Mg/m³
E above lowest polymorph = 308 meV/atom

Record 3
This record from Alexandria via LeMat-Bulk describes an optimized crystal structure of BiOs2Se. The functional is PBE.

```
data_BiOs2Se
_chemical_formula_sum 'Bi4 Os8 Se4'
_cell_length_a 5.731
_cell_length_b 5.731
_cell_length_c 11.838
_cell_angle_alpha 90.00
_cell_angle_beta 90.00
_cell_angle_gamma 90.00
_space_group_name_H-M_alt 'I -4 2 d'
_space_group_IT_number 122
_space_group_name_Hall 'I -4 2bw'
loop_
_atom_site_label
_atom_site_type_symbol
_atom_site_fract_x
_atom_site_fract_y
_atom_site_fract_z
Bi1 Bi 0.000 0.000 0.000
Os1 Os 0.201 0.250 0.625
Se1 Se 0.000 0.000 0.500
```

Summary:
calculated total energy = -25.83 eV per formula unit
DOS(E_F) = 7.42 states/eV per cell
density = 11.42 Mg/m³
E above lowest polymorph = 0 meV/atom

Record 4
This record from Alexandria via LeMat-Bulk describes an optimized crystal structure of Bi2Os2Se. The functional is PBE.

```
data_Bi2Os2Se
_chemical_formula_sum 'Bi4 Os4 Se2'
_cell_length_a 3.676
_cell_length_b 3.676
_cell_length_c 16.937
_cell_angle_alpha 90.00
_cell_angle_beta 90.00
_cell_angle_gamma 90.00
_space_group_name_H-M_alt 'I 4/m m m'
_space_group_IT_number 139
_space_group_name_Hall '-I 4 2'
loop_
_atom_site_label
_atom_site_type_symbol
_atom_site_fract_x
_atom_site_fract_y
_atom_site_fract_z
Bi1 Bi 0.000 0.000 0.113
Os1 Os 0.000 0.500 0.250
Se1 Se 0.000 0.000 0.500
```

Summary:
calculated total energy = -31.20 eV per formula unit
DOS(E_F) = 12.79 states/eV per cell
density = 12.73 Mg/m³
E above lowest polymorph = 0 meV/atom

Record 5
This record from Alexandria via LeMat-Bulk describes an optimized crystal structure of SiBiOs2Se. The functional is PBE.

```
data_SiBiOs2Se
_chemical_formula_sum 'Si1 Bi1 Os2 Se1'
_cell_length_a 5.039
_cell_length_b 5.039
_cell_length_c 5.556
_cell_angle_alpha 90.00
_cell_angle_beta 90.00
_cell_angle_gamma 90.00
_space_group_name_H-M_alt 'P 4/m m m'
_space_group_IT_number 123
_space_group_name_Hall '-P 4 2'
loop_
_atom_site_label
_atom_site_type_symbol
_atom_site_fract_x
_atom_site_fract_y
_atom_site_fract_z
Si1 Si 0.000 0.000 0.000
Bi1 Bi 0.500 0.500 0.500
Os1 Os 0.000 0.500 0.500
Se1 Se 0.500 0.500 0.000
```

Summary:
calculated total energy = -22.41 eV per formula unit
DOS(E_F) = 3.67 states/eV per cell
density = 8.20 Mg/m³
E above lowest polymorph = 806 meV/atom

Record 6
This record from Alexandria via LeMat-Bulk describes an optimized crystal structure of SiBiOs2Se. The functional is PBE.

```
data_SiBiOs2Se
_chemical_formula_sum 'Si1 Bi1 Os2 Se1'
_cell_length_a 4.542
_cell_length_b 4.542
_cell_length_c 5.666
_cell_angle_alpha 90.00
_cell_angle_beta 90.00
_cell_angle_gamma 90.00
_space_group_name_H-M_alt 'P 4/m m m'
_space_group_IT_number 123
_space_group_name_Hall '-P 4 2'
loop_
_atom_site_label
_atom_site_type_symbol
_atom_site_fract_x
_atom_site_fract_y
_atom_site_fract_z
Si1 Si 0.000 0.000 0.000
Bi1 Bi 0.500 0.500 0.000
Os1 Os 0.000 0.500 0.500
Se1 Se 0.500 0.500 0.500
```

Summary:
calculated total energy = -26.44 eV per formula unit
DOS(E_F) = 4.19 states/eV per cell
density = 9.89 Mg/m³
E above lowest polymorph = 0 meV/atom